MnReCl2: relaxed, PBE.

Energy above the lowest structure with this stoichiometry in eV/f.u.: 4.33
Formation energy from raw total energies in meV per atom: 965

Cell: 4.471 4.471 3.061 Å, 90.00 90.00 90.00°
Each line ends with the local moment (μB).
Fractional coordinates of all 4 atoms:
Re 0.000 0.500 0.500  -0.17
Mn 0.500 0.000 0.500  3.90
Cl 0.000 0.000 0.000  0.06
Cl 0.500 0.500 0.000  0.06

---

InSiCl: relaxed, PBE.

Formation energy from raw total energies in meV per atom: 78

Cell: 3.443 3.443 7.379 Å, 90.00 90.00 120.00°
Fractional coordinates of all 3 atoms:
Cl 0.000 0.000 0.071
In 0.667 0.333 0.327
Si 0.333 0.667 0.602

---

BC5: relaxed, PBE.

Formation energy from the elements in eV/f.u.: 1.6
Energy above the lowest structure with this stoichiometry in eV/f.u.: 0.39

Cell: 4.366 4.366 7.629 Å, 116.83 116.83 34.51°
Fractional coordinates of all 12 atoms:
B 0.689 0.689 0.315
B 0.478 0.478 0.394
C 0.352 0.352 0.154
C 0.181 0.181 0.197
C 0.007 0.007 0.992
C 0.844 0.844 0.037
C 0.666 0.666 0.835
C 0.501 0.501 0.873
C 0.322 0.322 0.672
C 0.160 0.160 0.716
C 0.986 0.986 0.511
C 0.815 0.815 0.555